(1)
## RbZnRhF2 (PBE)

Data for a relaxed structure of RbZnRhF2.

Properties
E_tot ... -13.498 eV per cell
M_tot ... 1.815 μB per formula unit
Formation energy (no corrections) ... -0.032 eV per atom

Cell lengths 4.8549, 4.8549, 5.4834 Å; angles 90.00, 90.00, 90.00 degrees
Space group P4/mmm (No. 123)
Asymmetric unit:
Rb: 0.0000 0.0000 0.0000 [1 per cell]
Zn: 0.5000 0.5000 0.5000 [1 per cell]
Rh: 0.0000 0.0000 0.5000 [1 per cell]
F: 0.0000 0.5000 0.0000 [2 per cell]

=====

(2)
## Rb2ZnRhF6 (PBE)

Data for a relaxed structure of Rb2ZnRhF6.

Properties
E_tot ... -86.596 eV per cell
M_tot ... 1.000 μB per formula unit
Formation energy (no corrections) ... -2.151 eV per atom

Cell lengths 6.0637, 6.0637, 8.4174 Å; angles 90.00, 90.00, 90.00 degrees
Space group I4/mmm (No. 139)
Asymmetric unit:
Rb: 0.0000 0.5000 0.2500 [4 per cell]
Zn: 0.0000 0.0000 0.0000 [2 per cell]
Rh: 0.0000 0.0000 0.5000 [2 per cell]
F: 0.0000 0.0000 0.2544 [4 per cell]
F: 0.2381 0.2381 0.0000 [8 per cell]

=====

(3)
## Rb2ZrRhF6 (PBE)

Data for a relaxed structure of Rb2ZrRhF6.

Properties
E_tot ... -108.159 eV per cell
M_tot ... 1.000 μB per formula unit
Formation energy (no corrections) ... -2.502 eV per atom

Cell lengths 7.1528, 7.1528, 8.4024 Å; angles 90.00, 90.00, 90.00 degrees
Space group I4/mmm (No. 139)
Asymmetric unit:
Rb: 0.0000 0.5000 0.2500 [4 per cell]
Zr: 0.0000 0.0000 0.0000 [2 per cell]
Rh: 0.0000 0.0000 0.5000 [2 per cell]
F: 0.0000 0.0000 0.2436 [4 per cell]
F: 0.2016 0.2016 0.0000 [8 per cell]

=====

(4)
## Rb2RuF8 (PBE)

Data for a relaxed structure of Rb2RuF8.

Properties
E_tot ... -97.272 eV per cell
M_tot ... 4.047 μB per formula unit
Formation energy (no corrections) ... -2.041 eV per atom

Cell lengths 11.6470, 8.3962, 5.1802 Å; angles 90.00, 113.41, 90.00 degrees
Space group C2/m (No. 12)
Asymmetric unit:
Rb: 0.1728 0.0000 0.3002 [4 per cell]
Ru: 0.0000 0.5000 0.0000 [2 per cell]
F: 0.0670 0.0000 0.6962 [4 per cell]
F: 0.0996 0.5000 0.7874 [4 per cell]
F: 0.1069 0.3406 0.2371 [8 per cell]

=====

(5)
## Rb3RuF7 (PBE)

Data for a relaxed structure of Rb3RuF7.

Properties
E_tot ... -100.830 eV per cell
M_tot ... 0.135 μB per formula unit
Formation energy (no corrections) ... -2.285 eV per atom

Cell lengths 9.2157, 9.4136, 6.4581 Å; angles 90.00, 132.79, 90.00 degrees
Space group Cm (No. 8)
Asymmetric unit:
Rb: 0.0000 0.0000 0.0000 [2 per cell]
Rb: 0.0294 0.2627 0.5111 [4 per cell]
Ru: 0.0132 0.5000 0.9884 [2 per cell]
F: 0.1851 0.5000 0.4195 [2 per cell]
F: 0.2117 0.3764 0.0374 [4 per cell]
F: 0.2575 0.0000 0.9011 [2 per cell]
F: 0.3429 0.0000 0.5585 [2 per cell]
F: 0.4443 0.2035 0.9797 [4 per cell]

=====

(6)
## RbRuF3 (PBE)

Data for a relaxed structure of RbRuF3.

Properties
E_tot ... -24.298 eV per cell
ΔE to the lowest computed polymorph ... 0 meV/atom
M_tot ... 1.363 μB per formula unit
Formation energy (no corrections) ... -1.688 eV per atom

Cell lengths 4.3099, 4.3099, 4.3099 Å; angles 90.00, 90.00, 90.00 degrees
Space group Pm-3m (No. 221)
Asymmetric unit:
Rb: 0.0000 0.0000 0.0000 [1 per cell]
Ru: 0.5000 0.5000 0.5000 [1 per cell]
F: 0.0000 0.5000 0.5000 [3 per cell]

=====

(7)
## Rb2RuF7 (PBE)

Data for a relaxed structure of Rb2RuF7.

Properties
E_tot ... -183.319 eV per cell
ΔE to the lowest computed polymorph ... 0 meV/atom
M_tot ... 1.002 μB per formula unit
Formation energy (no corrections) ... -2.152 eV per atom

Cell lengths 14.3040, 6.5117, 10.3873 Å; angles 90.00, 132.89, 90.00 degrees
Space group C2/c (No. 15)
Asymmetric unit:
Rb: 0.1550 0.1712 0.2316 [8 per cell]
Ru: 0.0000 0.2979 0.7500 [4 per cell]
F: 0.0000 0.3995 0.2500 [4 per cell]
F: 0.0809 0.0508 0.9018 [8 per cell]
F: 0.1007 0.2977 0.6843 [8 per cell]
F: 0.1499 0.3883 0.9837 [8 per cell]

=====

(8)
## RbRu2F11 (PBE)

Data for a relaxed structure of RbRu2F11.

Properties
E_tot ... -268.580 eV per cell
M_tot ... 6.000 μB per formula unit
Formation energy (no corrections) ... -1.932 eV per atom

Cell lengths 9.6281, 9.7479, 11.3940 Å; angles 90.00, 90.00, 90.00 degrees
Space group Ibam (No. 72)
Asymmetric unit:
Rb: 0.0000 0.0000 0.2500 [4 per cell]
Ru: 0.1444 0.3477 0.0000 [8 per cell]
F: 0.0000 0.5000 0.0000 [4 per cell]
F: 0.0410 0.2566 0.1173 [16 per cell]
F: 0.2255 0.2914 0.5000 [8 per cell]
F: 0.2433 0.4437 0.1173 [16 per cell]

=====

(9)
## RbRuF3 (PBE)

Data for a relaxed structure of RbRuF3.

Properties
E_tot ... -17.556 eV per cell
ΔE to the lowest computed polymorph ... 1348 meV/atom
M_tot ... 4.000 μB per formula unit
Formation energy (no corrections) ... -0.340 eV per atom

Cell lengths 4.8994, 4.8994, 4.8994 Å; angles 90.00, 90.00, 90.00 degrees
Space group Pm-3m (No. 221)
Asymmetric unit:
Rb: 0.0000 0.0000 0.0000 [1 per cell]
Ru: 0.5000 0.5000 0.5000 [1 per cell]
F: 0.0000 0.0000 0.5000 [3 per cell]

=====

(10)
## Rb2RuF6 (PBE)

Data for a relaxed structure of Rb2RuF6.

Properties
E_tot ... -173.394 eV per cell
M_tot ... 2.000 μB per formula unit
Formation energy (no corrections) ... -2.323 eV per atom

Cell lengths 8.7795, 8.7795, 8.7795 Å; angles 90.00, 90.00, 90.00 degrees
Space group Fm-3m (No. 225)
Asymmetric unit:
Rb: 0.2500 0.2500 0.2500 [8 per cell]
Ru: 0.0000 0.0000 0.0000 [4 per cell]
F: 0.0000 0.0000 0.2227 [24 per cell]

=====

(11)
## RbRu2F (PBE)

Data for a relaxed structure of RbRu2F.

Properties
E_tot ... -60.555 eV per cell
ΔE to the lowest computed polymorph ... 895 meV/atom
M_tot ... 4.565 μB per formula unit
Formation energy (no corrections) ... 1.563 eV per atom

Cell lengths 6.7095, 6.7095, 6.7095 Å; angles 90.00, 90.00, 90.00 degrees
Space group Fm-3m (No. 225)
Asymmetric unit:
Rb: 0.0000 0.0000 0.0000 [4 per cell]
Ru: 0.2500 0.2500 0.2500 [8 per cell]
F: 0.0000 0.0000 0.5000 [4 per cell]

=====

(12)
## RbRuF5 (PBE)

Data for a relaxed structure of RbRuF5.

Properties
E_tot ... -136.907 eV per cell
M_tot ... 2.417 μB per formula unit
Formation energy (no corrections) ... -2.090 eV per atom

Cell lengths 9.8724, 7.5385, 8.1167 Å; angles 90.00, 111.22, 90.00 degrees
Space group C2/c (No. 15)
Asymmetric unit:
Rb: 0.0000 0.0166 0.2500 [4 per cell]
Ru: 0.0000 0.5000 0.0000 [4 per cell]
F: 0.0000 0.4761 0.2500 [4 per cell]
F: 0.0497 0.2498 0.0048 [8 per cell]
F: 0.2008 0.4366 0.5933 [8 per cell]